(1)
4
Lattice="4.0553 0.0000 0.0000 2.0276 3.5120 0.0000 2.0276 1.1707 7.9650" Properties=species:S:1:pos:R:3 comment="La2AlOs (GGA-PBEsol, optimized geometry)" mass_density_g_cm3=7.2 sg=R-3m total_magnetization_mub_per_fu=0.00 dos_at_fermi_per_ev_cell=3.30 pbc="T T T"
Os 4.0553 2.3413 3.9825
Al 0.0000 0.0000 0.0000
La 2.0276 1.1707 2.4111
La 6.0829 3.5120 5.5539

=====

(2)
3
Lattice="4.2131 0.0000 0.0000 -2.1066 3.6487 0.0000 0.0000 0.0000 4.1758" Properties=species:S:1:pos:R:3 comment="LaAlP (GGA-PBEsol, optimized geometry)" mass_density_g_cm3=5.1 sg=P-6m2 total_magnetization_mub_per_fu=0.00 dos_at_fermi_per_ev_cell=2.86 pbc="T T T"
P 2.1066 1.2162 0.6973
Al 0.0000 0.0000 0.6946
La 0.0000 2.4324 2.7839

=====

(3)
3
Lattice="3.4342 0.0444 -0.0003 -0.0257 3.4344 -0.0002 -1.7047 -1.7400 5.2676" Properties=species:S:1:pos:R:3 comment="LaAlP (GGA-PBEsol, optimized geometry)" mass_density_g_cm3=5.3 sg=Fmm2 total_magnetization_mub_per_fu=0.00 dos_at_fermi_per_ev_cell=2.10 pbc="T T T"
P 0.0012 0.0011 3.8961
Al 1.7029 1.7379 4.8352
La 1.7034 1.7384 1.8029

=====

(4)
5
Lattice="-2.5032 -3.2888 -2.4486 3.5451 -0.1355 -3.4421 2.2874 -3.6005 2.4976" Properties=species:S:1:pos:R:3 comment="LaSc2AlP (GGA-PBEsol, optimized geometry)" mass_density_g_cm3=4.1 sg=P4/mmm total_magnetization_mub_per_fu=0.00 dos_at_fermi_per_ev_cell=5.84 pbc="T T T"
Sc 1.1437 -1.8003 1.2488
Sc 1.7725 -0.0678 -1.7210
P 0.0000 0.0000 0.0000
Al -1.2516 -1.6444 -1.2243
La 1.6646 -3.5124 -1.6965

=====

(5)
4
Lattice="-1.1467 3.6101 2.8415 -3.4810 1.2285 -2.9656 -2.9845 -2.7943 2.3457" Properties=species:S:1:pos:R:3 comment="LaAlPb2 (GGA-PBEsol, optimized geometry)" mass_density_g_cm3=9.1 sg=P4/mmm total_magnetization_mub_per_fu=0.00 dos_at_fermi_per_ev_cell=1.75 pbc="T T T"
Pb -1.7405 0.6142 -1.4828
Pb -0.5733 1.8050 1.4207
Al -3.8061 1.0221 1.1108
La -1.4922 -1.3971 1.1728

=====

(6)
5
Lattice="4.7747 0.0000 0.0000 0.0000 4.7747 0.0000 -2.3874 -2.3874 5.7758" Properties=species:S:1:pos:R:3 comment="LaAl2Pb2 (GGA-PBEsol, optimized geometry)" mass_density_g_cm3=7.7 sg=I4/mmm total_magnetization_mub_per_fu=0.00 dos_at_fermi_per_ev_cell=3.08 pbc="T T T"
Pb 0.0000 2.3874 2.8879
Pb 2.3874 0.0000 2.8879
Al 0.0000 0.0000 4.5474
Al 2.3874 2.3874 1.2285
La 0.0000 0.0000 0.0000

=====

The evaluated ΔE_f for the records listed, in turn: 0.174, -0.810, -0.616, -0.320, -0.383, -0.095 eV/atom.